(1)
La2CeN3: optimized geometry, PBE.

Cell lengths 6.393, 11.048, 6.360 Å; angles 90.00, 109.44, 90.00 degrees
Space group C2/c (No. 15)
Inequivalent atoms, fractional coordinates:
La 0.000 0.084 0.250 [4 per cell]
La 0.000 0.251 0.750 [4 per cell]
Ce 0.000 0.419 0.250 [4 per cell]
N 0.224 0.425 0.999 [8 per cell]
N 0.250 0.250 0.500 [4 per cell]

Properties
**Offset from the most stable computed form**: 0 meV per atom
**Formation energy without anion corrections**: -1.39 eV/atom
**D(E_F)**: 11.38 states/eV/cell

(2)
K2CeCd2Se4: optimized geometry, PBE.

Cell lengths 16.992, 4.188, 8.442 Å; angles 90.00, 115.24, 90.00 degrees
Space group C2/m (No. 12)
Inequivalent atoms, fractional coordinates:
K 0.126 0.000 0.063 [4 per cell]
Ce 0.000 0.000 0.500 [2 per cell]
Cd 0.191 0.500 0.526 [4 per cell]
Se 0.024 0.500 0.274 [4 per cell]
Se 0.186 0.000 0.735 [4 per cell]

Properties
**Formation energy without anion corrections**: -1.08 eV/atom
**D(E_F)**: 13.71 states/eV/cell

(3)
HoGa9Ir2: optimized geometry, PBE.

Cell lengths 11.198, 11.198, 6.633 Å; angles 90.00, 90.00, 90.00 degrees
Space group I4_1/amd (No. 141, origin choice 2)
Inequivalent atoms, fractional coordinates:
Ho 0.000 0.250 0.375 [4 per cell]
Ga 0.000 0.250 0.875 [4 per cell]
Ga 0.118 0.062 0.667 [32 per cell]
Ir 0.000 0.000 0.000 [8 per cell]

Properties
**Formation enthalpy at 0 K**: -279 meV per atom
**D(E_F)**: 21.34 states/eV/cell

(4)
Ho5TlTe8: optimized geometry, PBE.

Cell lengths 12.946, 12.946, 12.946 Å; angles 90.00, 90.00, 90.00 degrees
Space group F-43m (No. 216)
Inequivalent atoms, fractional coordinates:
Ho 0.000 0.000 0.000 [4 per cell]
Ho 0.121 0.121 0.379 [16 per cell]
Tl 0.250 0.250 0.750 [4 per cell]
Te 0.112 0.112 0.612 [16 per cell]
Te 0.133 0.133 0.133 [16 per cell]

Properties
**Formation energy without anion corrections**: -1.18 eV/atom

(5)
LiPuRu: optimized geometry, PBE.

Cell lengths 4.611, 3.220, 7.703 Å; angles 90.00, 90.00, 90.00 degrees
Space group Pmma (No. 51)
Inequivalent atoms, fractional coordinates:
Li 0.000 0.000 0.000 [2 per cell]
Pu 0.250 0.500 0.336 [2 per cell]
Ru 0.250 0.000 0.655 [2 per cell]

Properties
**Offset from the most stable computed form**: 144 meV per atom
**Formation enthalpy at 0 K**: 77 meV per atom
**D(E_F)**: 12.89 states/eV/cell

(6)
TlMo2Pt: optimized geometry, PBE.

Cell lengths 2.807, 4.156, 5.972 Å; angles 90.00, 90.00, 90.00 degrees
Space group Pmm2 (No. 25)
Inequivalent atoms, fractional coordinates:
Tl 0.000 0.000 0.000 [1 per cell]
Mo 0.000 0.000 0.496 [1 per cell]
Mo 0.500 0.500 0.275 [1 per cell]
Pt 0.500 0.500 0.734 [1 per cell]

Properties
**Offset from the most stable computed form**: 69 meV per atom
**Formation enthalpy at 0 K**: 332 meV per atom
**D(E_F)**: 3.18 states/eV/cell

(7)
CuSiRh2: optimized geometry, PBE.

Cell lengths 3.732, 3.732, 7.614 Å; angles 90.00, 90.00, 90.00 degrees
Space group I-4m2 (No. 119)
Inequivalent atoms, fractional coordinates:
Cu 0.000 0.000 0.000 [2 per cell]
Si 0.000 0.500 0.250 [2 per cell]
Rh 0.000 0.000 0.500 [2 per cell]
Rh 0.000 0.500 0.750 [2 per cell]

Properties
**Formation energy without anion corrections**: -0.22 eV/atom
**D(E_F)**: 7.80 states/eV/cell

(8)
Zr2InP: optimized geometry, PBE.

Cell lengths 6.836, 6.836, 6.836 Å; angles 90.00, 90.00, 90.00 degrees
Space group Fm-3m (No. 225)
Inequivalent atoms, fractional coordinates:
Zr 0.250 0.250 0.250 [8 per cell]
In 0.000 0.000 0.000 [4 per cell]
P 0.000 0.000 0.500 [4 per cell]

Properties
**Offset from the most stable computed form**: 574 meV per atom
**Formation enthalpy at 0 K**: -277 meV per atom
**D(E_F)**: 12.42 states/eV/cell

(9)
LaSn3I: optimized geometry, PBE.

Cell lengths 6.169, 6.169, 6.169 Å; angles 90.00, 90.00, 90.00 degrees
Space group Pm-3m (No. 221)
Inequivalent atoms, fractional coordinates:
La 0.000 0.000 0.000 [1 per cell]
Sn 0.000 0.000 0.500 [3 per cell]
I 0.500 0.500 0.500 [1 per cell]

Properties
**Offset from the most stable computed form**: 146 meV per atom
**Formation energy without anion corrections**: 0.59 eV/atom
**D(E_F)**: 17.35 states/eV/cell

(10)
CaAg6Ge: optimized geometry, PBE.

Cell lengths 5.8047, 5.8047, 19.9395 Å; angles 90.00, 90.00, 120.00 degrees
Space group R-3m (No. 166, hexagonal axes)
Inequivalent atoms, fractional coordinates:
Ca 0.0000 0.0000 0.0000 [3 per cell]
Ag 0.0110 0.5055 0.9289 [18 per cell]
Ge 0.0000 0.0000 0.5000 [3 per cell]

Properties
**Formation enthalpy at 0 K**: 149 meV per atom
**D(E_F)**: 9.38 states/eV/cell

(11)
SmBi2: optimized geometry, PBE.

Cell lengths 7.697, 4.486, 10.936 Å; angles 90.00, 90.00, 90.00 degrees
Space group Pnma (No. 62)
Inequivalent atoms, fractional coordinates:
Sm 0.194 0.250 0.137 [4 per cell]
Bi 0.109 0.250 0.811 [4 per cell]
Bi 0.130 0.250 0.441 [4 per cell]

Properties
**Formation enthalpy at 0 K**: -597 meV per atom
**D(E_F)**: 8.62 states/eV/cell

(12)
TbPm2DyEr: optimized geometry, PBE.

Cell lengths 8.378, 11.525, 7.243 Å; angles 90.00, 90.00, 90.00 degrees
Space group Cmcm (No. 63)
Inequivalent atoms, fractional coordinates:
Tb 0.000 0.013 0.250 [4 per cell]
Pm 0.192 0.500 0.000 [8 per cell]
Dy 0.000 0.280 0.250 [4 per cell]
Er 0.000 0.267 0.750 [4 per cell]

Properties
**Formation enthalpy at 0 K**: 428 meV per atom
**D(E_F)**: 31.78 states/eV/cell

(13)
LaThGa2Pd5: optimized geometry, PBE.

Cell lengths 4.376, 4.376, 9.071 Å; angles 90.00, 90.00, 90.00 degrees
Space group P4/mmm (No. 123)
Inequivalent atoms, fractional coordinates:
La 0.000 0.000 0.000 [1 per cell]
Th 0.000 0.000 0.500 [1 per cell]
Ga 0.500 0.500 0.361 [2 per cell]
Pd 0.000 0.500 0.229 [4 per cell]
Pd 0.500 0.500 0.000 [1 per cell]

Properties
**Formation enthalpy at 0 K**: -769 meV per atom
**D(E_F)**: 6.16 states/eV/cell

(14)
TcBNF2: optimized geometry, PBE.

Cell lengths 4.153, 4.153, 3.787 Å; angles 90.00, 90.00, 90.00 degrees
Space group P4/mmm (No. 123)
Inequivalent atoms, fractional coordinates:
Tc 0.000 0.000 0.000 [1 per cell]
B 0.500 0.500 0.500 [1 per cell]
N 0.000 0.000 0.500 [1 per cell]
F 0.000 0.500 0.000 [2 per cell]

Properties
**Offset from the most stable computed form**: 574 meV per atom
**Formation energy without anion corrections**: 0.26 eV/atom
**D(E_F)**: 3.32 states/eV/cell

(15)
ZrAsWC2: optimized geometry, PBE.

Cell lengths 4.127, 4.127, 5.199 Å; angles 90.00, 90.00, 90.00 degrees
Space group P4/mmm (No. 123)
Inequivalent atoms, fractional coordinates:
Zr 0.000 0.000 0.000 [1 per cell]
As 0.000 0.000 0.500 [1 per cell]
W 0.500 0.500 0.500 [1 per cell]
C 0.000 0.500 0.000 [2 per cell]

Properties
**Formation enthalpy at 0 K**: 2252 meV per atom
**D(E_F)**: 9.01 states/eV/cell

(16)
NaTl6Sn23: optimized geometry, PBE.

Cell lengths 15.356, 15.356, 15.356 Å; angles 90.00, 90.00, 90.00 degrees
Space group Fm-3m (No. 225)
Inequivalent atoms, fractional coordinates:
Na 0.000 0.000 0.000 [4 per cell]
Tl 0.000 0.000 0.223 [24 per cell]
Sn 0.000 0.000 0.500 [4 per cell]
Sn 0.000 0.250 0.250 [24 per cell]
Sn 0.120 0.120 0.380 [32 per cell]
Sn 0.170 0.170 0.170 [32 per cell]

Properties
**Formation enthalpy at 0 K**: 81 meV per atom
**D(E_F)**: 84.24 states/eV/cell

(17)
Zr4Co2Ni: optimized geometry, PBE.

Cell lengths 6.547, 6.628, 6.715 Å; angles 106.54, 105.94, 106.57 degrees
Space group P1 (No. 1)
Inequivalent atoms, fractional coordinates:
Zr 0.000 0.000 0.000 [1 per cell]
Zr 0.036 0.601 0.183 [1 per cell]
Zr 0.236 0.367 0.842 [1 per cell]
Zr 0.391 0.140 0.474 [1 per cell]
Zr 0.459 0.714 0.644 [1 per cell]
Zr 0.584 0.172 0.077 [1 per cell]
Zr 0.809 0.944 0.407 [1 per cell]
Zr 0.883 0.537 0.608 [1 per cell]
Co 0.078 0.318 0.377 [1 per cell]
Co 0.192 0.928 0.698 [1 per cell]
Co 0.354 0.807 0.083 [1 per cell]
Co 0.668 0.621 0.959 [1 per cell]
Ni 0.482 0.504 0.273 [1 per cell]
Ni 0.771 0.225 0.791 [1 per cell]

Properties
**Formation enthalpy at 0 K**: -262 meV per atom
**D(E_F)**: 14.84 states/eV/cell

(18)
Cs2LiCBr6: optimized geometry, PBE.

Cell lengths 7.523, 7.523, 10.676 Å; angles 90.00, 90.00, 90.00 degrees
Space group I4/mmm (No. 139)
Inequivalent atoms, fractional coordinates:
Cs 0.000 0.500 0.250 [4 per cell]
Li 0.000 0.000 0.000 [2 per cell]
C 0.000 0.000 0.500 [2 per cell]
Br 0.000 0.000 0.267 [4 per cell]
Br 0.234 0.234 0.500 [8 per cell]

Properties
**Formation energy without anion corrections**: -0.49 eV/atom
**D(E_F)**: 36.50 states/eV/cell

(19)
Dy5PdRh2: optimized geometry, PBE.

Cell lengths 7.555, 7.555, 13.447 Å; angles 90.00, 90.00, 90.00 degrees
Space group I4/mcm (No. 140)
Inequivalent atoms, fractional coordinates:
Dy 0.000 0.000 0.000 [4 per cell]
Dy 0.164 0.336 0.140 [16 per cell]
Pd 0.000 0.000 0.250 [4 per cell]
Rh 0.137 0.363 0.500 [8 per cell]

Properties
**Formation enthalpy at 0 K**: -717 meV per atom
**D(E_F)**: 30.66 states/eV/cell

(20)
Pm8HoSb6: optimized geometry, PBE.

Cell lengths 8.1340, 8.1340, 25.7222 Å; angles 90.00, 90.00, 120.00 degrees
Space group R-3 (No. 148, hexagonal axes)
Inequivalent atoms, fractional coordinates:
Pm 0.0000 0.0000 0.1667 [6 per cell]
Pm 0.0015 0.3388 0.3787 [18 per cell]
Ho 0.0000 0.0000 0.5000 [3 per cell]
Sb 0.0010 0.3279 0.5661 [18 per cell]

Properties
**Formation energy without anion corrections**: -0.81 eV/atom
**D(E_F)**: 45.66 states/eV/cell

Values for magnetization, μB per cell, ordered as above
0.104 1.096 0.000 0.000 8.952 0.000 0.000 0.000 1.079 0.000 0.000 0.004 0.000 0.000 0.000 0.000 0.000 0.002 0.001 0.000